## Ba3Li2Ac2Au4 (GGA-PBE)

Data for an optimized crystal structure of Ba3Li2Ac2Au4.

CIF file:
```
data_Ba3Li2Ac2Au4
_chemical_formula_sum 'Ba3 Li2 Ac2 Au4'
_cell_length_a 4.6813
_cell_length_b 4.6813
_cell_length_c 19.8105
_cell_angle_alpha 90.00
_cell_angle_beta 90.00
_cell_angle_gamma 120.00
_symmetry_space_group_name_H-M 'P -3 m 1'
_symmetry_Int_Tables_number 164
_symmetry_space_group_name_Hall '-P 3 2"'
loop_
_atom_site_label
_atom_site_fract_x
_atom_site_fract_y
_atom_site_fract_z
_atom_site_occupancy
Ba1 0.0000 0.0000 0.0000 1
Ba2 0.0000 0.0000 0.2367 1
Li1 0.3333 0.6667 0.1184 1
Ac1 0.3333 0.6667 0.5796 1
Au1 0.3333 0.6667 0.3410 1
Au2 0.3333 0.6667 0.8839 1
```

## Properties
Crystal system: trigonal
DFT total energy (eV/atom): -3.331